(1)
A relaxed structure of V2HCl, computed with PBE-GGA.

extended XYZ file:
```
4
Lattice="0.907 -2.829 -2.639 -2.599 -2.904 -0.772 -1.864 -0.117 -3.507" Properties=species:S:1:pos:R:3 pbc="T T T"
H 0.000 0.000 0.000
V -0.889 -1.463 -1.729
V -2.667 -4.388 -5.188
Cl -1.778 -2.925 -3.459
```

Values from the calculation:
The calculation puts the polymorph energy (0 for the lowest one) at 486.7 meV/atom. The space group is Fm-3m, No. 225.



(2)
A relaxed structure of SrThReN4, computed with PBE-GGA.

extended XYZ file:
```
14
Lattice="-4.054 -2.042 3.163 3.201 -4.236 1.369 4.313 4.399 3.529" Properties=species:S:1:pos:R:3 pbc="T T T"
Sr 0.841 -3.507 3.653
Sr 2.619 1.628 4.407
Th 1.268 -0.368 1.388
Th 2.192 -1.511 6.673
Re 3.603 -1.401 3.713
Re -0.143 -0.478 4.347
N 0.738 0.824 6.316
N 4.276 -0.406 5.218
N 2.722 -2.703 1.745
N -0.816 -1.473 2.842
N 1.730 -0.939 4.030
N 2.157 2.199 1.764
N 0.129 1.179 3.346
N 3.757 0.081 2.449
```

Values from the calculation:
The space group is Cmcm, No. 63. For the raw formation energy, the calculation gives -0.844 eV per atom.



(3)
A relaxed structure of CdIn2Te, computed with PBE-GGA.

extended XYZ file:
```
8
Lattice="8.042 0.000 0.051 0.000 4.250 0.000 -2.335 0.000 6.989" Properties=species:S:1:pos:R:3 pbc="T T T"
Cd 0.000 2.125 0.000
Cd -1.167 0.000 3.495
Te 2.854 2.125 3.520
Te 4.021 0.000 0.025
In 4.291 0.000 5.287
In 1.416 0.000 1.753
In 5.459 2.125 1.793
In 0.249 2.125 5.248
```

Values from the calculation:
The calculation puts the polymorph energy (0 for the lowest one) at 16.3 meV/atom. The space group is C2/m, No. 12. For the raw formation energy, the calculation gives -0.104 eV per atom.